{"formula": "Ce5Tl3In3", "functional": "PBE", "state": "relaxed", "lattice": [[10.752, 0.000, 0.000], [-5.376, 9.312, 0.000], [0.000, 0.000, 3.333]], "species": ["Ce", "Ce", "Ce", "Ce", "Ce", "Tl", "Tl", "Tl", "In", "In", "In"], "frac_coords": [[0.000, 0.347, 0.000], [0.333, 0.667, 0.000], [0.347, 0.000, 0.000], [0.653, 0.653, 0.000], [0.667, 0.333, 0.000], [0.000, 0.604, 0.500], [0.396, 0.396, 0.500], [0.604, 0.000, 0.500], [0.000, 0.841, 0.000], [0.159, 0.159, 0.000], [0.841, 0.000, 0.000]], "magmom_total_mub_per_cell": 8.3, "n_ef_per_ev_cell": 35.394, "sg": "No. 189", "e_form_ev_per_atom": 0.1456, "dft_energy_ev_per_atom": -3.94, "density_g_cm3": 8.25}



{"formula": "ZrPbAu2", "functional": "PBE", "state": "relaxed", "lattice": [[7.796, 0.000, 0.000], [0.000, 7.796, 0.000], [0.000, 0.000, 6.146]], "species": ["Zr", "Zr", "Zr", "Zr", "Pb", "Pb", "Pb", "Pb", "Au", "Au", "Au", "Au", "Au", "Au", "Au", "Au"], "frac_coords": [[0.000, 0.000, 0.000], [0.000, 0.500, 0.250], [0.500, 0.000, 0.750], [0.500, 0.500, 0.500], [0.000, 0.000, 0.500], [0.000, 0.500, 0.750], [0.500, 0.000, 0.250], [0.500, 0.500, 0.000], [0.238, 0.250, 0.125], [0.250, 0.738, 0.375], [0.250, 0.762, 0.875], [0.262, 0.250, 0.625], [0.738, 0.750, 0.625], [0.750, 0.238, 0.875], [0.750, 0.262, 0.375], [0.762, 0.750, 0.125]], "magmom_total_mub_per_cell": 0.0, "n_ef_per_ev_cell": 3.594, "sg": "No. 122", "e_form_ev_per_atom": -0.0880, "dft_energy_ev_per_atom": -4.79, "density_g_cm3": 12.31}



{"formula": "Er2Al4ZnCu3", "functional": "PBE", "state": "relaxed", "lattice": [[4.117, 0.000, 0.000], [0.000, 4.117, 0.000], [0.000, 0.000, 10.295]], "species": ["Er", "Er", "Al", "Al", "Al", "Al", "Zn", "Cu", "Cu", "Cu"], "frac_coords": [[0.000, 0.500, 0.249], [0.500, 0.000, 0.751], [0.000, 0.000, 0.000], [0.000, 0.500, 0.638], [0.500, 0.000, 0.362], [0.500, 0.500, 0.000], [0.000, 0.000, 0.500], [0.000, 0.500, 0.868], [0.500, 0.000, 0.132], [0.500, 0.500, 0.500]], "magmom_total_mub_per_cell": 0.0, "n_ef_per_ev_cell": 4.902, "sg": "No. 115", "e_form_ev_per_atom": -0.3921, "dft_energy_ev_per_atom": -4.16, "density_g_cm3": 6.65}



{"formula": "LiMg2Br2", "functional": "PBE", "state": "relaxed", "lattice": [[3.972, 0.000, 0.000], [0.000, 3.972, 0.000], [0.000, 0.000, 17.493]], "species": ["Li", "Li", "Mg", "Mg", "Mg", "Mg", "Br", "Br", "Br", "Br"], "frac_coords": [[0.000, 0.000, 0.000], [0.500, 0.500, 0.500], [0.000, 0.500, 0.250], [0.000, 0.500, 0.750], [0.500, 0.000, 0.250], [0.500, 0.000, 0.750], [0.000, 0.000, 0.402], [0.000, 0.000, 0.598], [0.500, 0.500, 0.098], [0.500, 0.500, 0.902]], "magmom_total_mub_per_cell": 0.0, "n_ef_per_ev_cell": 2.624, "polymorph_energy_mev_per_atom": 91, "sg": "No. 139", "raw_formation_energy_ev_per_atom": -0.54, "dft_energy_ev_per_atom": -2.23, "density_g_cm3": 2.59}



{"formula": "Tb6TlSb2Te3", "functional": "PBE", "state": "relaxed", "lattice": [[9.600, -2.180, 0.000], [9.600, 2.180, 0.000], [-2.046, 0.000, 8.636]], "species": ["Tb", "Tb", "Tb", "Tb", "Tb", "Tb", "Tl", "Sb", "Sb", "Te", "Te", "Te"], "frac_coords": [[0.001, 0.001, 0.244], [0.330, 0.330, 0.423], [0.337, 0.337, 0.913], [0.663, 0.663, 0.087], [0.670, 0.670, 0.577], [0.999, 0.999, 0.756], [0.500, 0.500, 0.000], [0.166, 0.166, 0.334], [0.834, 0.834, 0.666], [0.169, 0.169, 0.833], [0.500, 0.500, 0.500], [0.831, 0.831, 0.167]], "magmom_total_mub_per_cell": 0.0, "n_ef_per_ev_cell": 3.490, "sg": "No. 12", "raw_formation_energy_ev_per_atom": -1.13, "dft_energy_ev_per_atom": -5.11, "density_g_cm3": 8.20}



{"formula": "AcSm2Dy4Ho", "functional": "PBE", "state": "relaxed", "lattice": [[5.111, 0.000, 0.000], [0.000, 5.135, 0.000], [0.000, 0.000, 10.186]], "species": ["Ac", "Sm", "Sm", "Dy", "Dy", "Dy", "Dy", "Ho"], "frac_coords": [[0.000, 0.000, 0.000], [0.000, 0.000, 0.500], [0.500, 0.500, 0.000], [0.000, 0.500, 0.258], [0.000, 0.500, 0.742], [0.500, 0.000, 0.258], [0.500, 0.000, 0.742], [0.500, 0.500, 0.500]], "magmom_total_mub_per_cell": 0.0, "n_ef_per_ev_cell": 11.203, "sg": "No. 47", "e_form_ev_per_atom": 0.0372, "dft_energy_ev_per_atom": -4.53, "density_g_cm3": 8.34}



{"formula": "PmS5", "functional": "PBE", "state": "relaxed", "lattice": [[4.134, 0.000, 0.000], [0.000, 11.001, 0.000], [-1.871, 0.000, 7.251]], "species": ["Pm", "Pm", "S", "S", "S", "S", "S", "S", "S", "S", "S", "S"], "frac_coords": [[0.215, 0.250, 0.311], [0.785, 0.750, 0.689], [0.115, 0.750, 0.393], [0.124, 0.067, 0.592], [0.124, 0.433, 0.592], [0.380, 0.654, 0.904], [0.380, 0.846, 0.904], [0.620, 0.154, 0.096], [0.620, 0.346, 0.096], [0.876, 0.567, 0.408], [0.876, 0.933, 0.408], [0.885, 0.250, 0.607]], "magmom_total_mub_per_cell": 0.0, "n_ef_per_ev_cell": 1.989, "sg": "No. 11", "raw_formation_energy_ev_per_atom": -0.63, "dft_energy_ev_per_atom": -4.86, "density_g_cm3": 3.08}



{"formula": "Tb3ZnCu", "functional": "PBE", "state": "relaxed", "lattice": [[6.510, 0.000, 0.000], [0.000, 8.388, 0.000], [-0.208, 0.000, 8.897]], "species": ["Tb", "Tb", "Tb", "Tb", "Tb", "Tb", "Tb", "Tb", "Tb", "Tb", "Tb", "Tb", "Zn", "Zn", "Zn", "Zn", "Cu", "Cu", "Cu", "Cu"], "frac_coords": [[0.219, 0.055, 0.332], [0.219, 0.445, 0.832], [0.239, 0.049, 0.927], [0.239, 0.451, 0.427], [0.277, 0.697, 0.131], [0.277, 0.803, 0.631], [0.723, 0.197, 0.369], [0.723, 0.303, 0.869], [0.761, 0.549, 0.573], [0.761, 0.951, 0.073], [0.781, 0.555, 0.168], [0.781, 0.945, 0.668], [0.420, 0.177, 0.631], [0.420, 0.323, 0.131], [0.580, 0.677, 0.869], [0.580, 0.823, 0.369], [0.032, 0.216, 0.624], [0.032, 0.284, 0.124], [0.968, 0.716, 0.876], [0.968, 0.784, 0.376]], "magmom_total_mub_per_cell": 0.0, "n_ef_per_ev_cell": 19.795, "polymorph_energy_mev_per_atom": 49, "sg": "No. 14", "e_form_ev_per_atom": -0.1634, "dft_energy_ev_per_atom": -4.02, "density_g_cm3": 8.28}